Material: YFePO2
Method: DFT, PBE with a Hubbard U
State: relaxed

abc: 4.2189 4.2189 5.8035
angles: 90.00 90.00 90.00
Last column: nearest neighbours and their distance in Å.
Atoms (fractional coordinates):
1 Y 0.0000 0.0000 0.0000  4 O 2.11
2 Fe 0.5000 0.5000 0.5000  4 P 2.98
3 P 0.0000 0.0000 0.5000  2 Y 2.90, 4 Fe 2.98
4 O 0.0000 0.5000 0.0000  2 Y 2.11
5 O 0.5000 0.0000 0.0000  2 Y 2.11

Computed properties:
The energy above the most stable polymorph in this dataset is 0.5362 eV per atom. The raw total energy comes out at -30.46 eV for the cell shown.